# PBE UTc6Ge8, relaxed
data_UTc6Ge8
_chemical_formula_sum 'U3 Tc18 Ge24'
_symmetry_space_group_name_H-M 'R -3'
_symmetry_Int_Tables_number 148
_symmetry_space_group_name_Hall '-R 3'
_cell_length_a 8.7282
_cell_length_b 8.7282
_cell_length_c 12.3794
_cell_angle_alpha 90.00
_cell_angle_beta 90.00
_cell_angle_gamma 120.00
loop_
_atom_site_label
_atom_site_fract_x
_atom_site_fract_y
_atom_site_fract_z
U1 0.0000 0.0000 0.0000
Tc1 0.0186 0.8339 0.4093
Ge1 0.0000 0.0000 0.2380
Ge2 0.0019 0.6912 0.9102
# energy of formation	0.066	eV per atom
# size of the total moment	0.112	μB per atom
# volume	816.7	Å³/cell